## Ba5Mg2H12 (PBE-GGA)

Data for a relaxed Ba5Mg2H12 crystal.

Lattice parameters (Å, degrees): 7.5122 7.5122 8.6067 104.16 104.16 49.73
With the nearest neighbours (Å) after each atom.
Atoms (fractional coordinates):
Ba 0.0000 0.0000 0.0000  6 H 2.66-2.94
Ba 0.3001 0.3001 0.6572  7 H 2.63-2.69
Ba 0.3284 0.3284 0.1472  7 H 2.61-2.73
Ba 0.6716 0.6716 0.8528  7 H 2.61-2.73
Ba 0.6999 0.6999 0.3428  7 H 2.63-2.69
Mg 0.2415 0.7585 0.5000  6 H 1.94-2.10
Mg 0.7585 0.2415 0.5000  6 H 1.94-2.10
H 0.0009 0.0009 0.3419  2 Mg 2.05
H 0.0748 0.5934 0.9062  4 Ba 2.62-2.66
H 0.1278 0.5781 0.4264  1 Mg 1.94
H 0.4066 0.9252 0.0938  4 Ba 2.62-2.66
H 0.4219 0.8722 0.5736  1 Mg 1.94
H 0.4916 0.4916 0.6485  2 Mg 2.10
H 0.5084 0.5084 0.3515  2 Mg 2.10
H 0.5781 0.1278 0.4264  1 Mg 1.94
H 0.5934 0.0748 0.9062  4 Ba 2.62-2.66
H 0.8722 0.4219 0.5736  1 Mg 1.94
H 0.9252 0.4066 0.0938  4 Ba 2.62-2.66
H 0.9991 0.9991 0.6581  2 Mg 2.05

electronic total energy	-3.161	eV per atom
space group	C2/m

---

## AlTlTe2 (PBE-GGA)

Data for a relaxed AlTlTe2 crystal.

Lattice parameters (Å, degrees): 6.6786 7.0507 7.4015 106.79 104.71 114.47
With the nearest neighbours (Å) after each atom.
Atoms (fractional coordinates):
Al 0.2505 0.0123 0.9999  4 Te 2.65-2.66
Al 0.7495 0.9877 0.0001  4 Te 2.65-2.66
Tl 0.2108 0.7096 0.4209  6 Te 3.43-3.72
Tl 0.7892 0.2904 0.5791  6 Te 3.43-3.72
Te 0.1629 0.1630 0.3260  2 Al 2.65
Te 0.3463 0.6831 0.0000  2 Al 2.65-2.66
Te 0.6537 0.3169 0.0000  2 Al 2.65-2.66
Te 0.8371 0.8370 0.6740  2 Al 2.65

space group	P-1
formation energy from raw total energies	-441	meV per atom